DFT (PBE) results for crystalline Li6TlRh2 at its relaxed geometry. Values from VASP.

Computed properties:
Distance to the lowest polymorph of the same formula = 0 meV per atom

Structure (Quantum ESPRESSO input):
```
&SYSTEM
  ibrav = 0, nat = 9, ntyp = 3
/
ATOMIC_SPECIES
Li 6.94 Li.upf
Tl 204.38 Tl.upf
Rh 102.91 Rh.upf
CELL_PARAMETERS angstrom
3.8263 2.2091 2.6663
-3.8263 2.2091 2.6663
0.0000 -4.4183 2.6663
ATOMIC_POSITIONS angstrom
Li -1.2415 -2.2679 2.6663
Li -2.5848 0.0588 2.6663
Li 1.2415 -2.2679 2.6663
Li -1.3433 2.2091 2.6663
Li 2.5848 0.0588 2.6663
Li 1.3433 2.2091 2.6663
Tl 0.0000 0.0000 3.9994
Rh 0.0000 0.0000 1.2865
Rh 0.0000 0.0000 6.7122
```

DFT (PBE) results for crystalline Li3TlRh at its relaxed geometry. Values from VASP.

Computed properties:
Distance to the lowest polymorph of the same formula = 310 meV per atom

Structure (Quantum ESPRESSO input):
```
&SYSTEM
  ibrav = 0, nat = 5, ntyp = 3
/
ATOMIC_SPECIES
Li 6.94 Li.upf
Tl 204.38 Tl.upf
Rh 102.91 Rh.upf
CELL_PARAMETERS angstrom
4.6669 0.0000 0.0000
0.0000 4.6669 0.0000
0.0000 0.0000 4.6669
ATOMIC_POSITIONS angstrom
Li 0.0000 0.0000 2.3334
Li 0.0000 2.3334 0.0000
Li 2.3334 0.0000 0.0000
Tl 2.3334 2.3334 2.3334
Rh 0.0000 0.0000 0.0000
```

Number 1: formation energy from the elements -0.161 eV/atom. Number 2: formation energy from the elements 0.159 eV/atom.